Record 1
The following is a DFT calculation (PBE-GGA) of an optimized crystal structure of NaLiPrHg.

a b c (Å): 5.285 5.285 5.285
angles (deg): 60.00 60.00 60.00
Positions (direct):
Pr1 0.750 0.750 0.750
Na1 0.250 0.250 0.250
Hg1 0.500 0.500 0.500
Li1 0.000 0.000 0.000

Computed properties:
calculated volume	104.4	Å³/cell
calculated total energy	-2.2057	eV per atom
symmetry	F-43m, No. 216
ΔE_f	-127	meV per atom

Record 2
The following is a DFT calculation (PBE-GGA) of an optimized crystal structure of Ce6ErOs4.

a b c (Å): 7.349 7.349 7.349
angles (deg): 89.22 120.45 120.45
Positions (direct):
Ce1 0.000 0.876 0.541
Ce2 0.000 0.541 0.876
Ce3 0.664 0.124 0.124
Ce4 0.500 0.000 0.500
Ce5 0.336 0.459 0.459
Ce6 0.500 0.500 0.000
Er1 0.000 0.000 0.000
Os1 0.000 0.232 0.633
Os2 0.599 0.367 0.367
Os3 0.000 0.633 0.232
Os4 0.401 0.768 0.768

Computed properties:
calculated volume	278.7	Å³/cell
calculated total energy	-7.8098	eV per atom
symmetry	I-42m, No. 121
ΔE_f	-75	meV per atom